[1]
A geometry-optimized Rb2MgH2Br2 structure, computed with PBE.

Output
spin magnetization	0.00	μB per formula unit
electronic total energy	-2.866	eV per atom

Cell and atoms, written as CIF:
```
data_Rb2MgH2Br2
_chemical_formula_sum 'Rb4 Mg2 H4 Br4'
_space_group_name_H-M_alt 'I 4/m m m'
_space_group_IT_number 139
_space_group_name_Hall '-I 4 2'
_cell_length_a 4.605
_cell_length_b 4.605
_cell_length_c 16.867
_cell_angle_alpha 90.00
_cell_angle_beta 90.00
_cell_angle_gamma 90.00
loop_
_atom_site_label
_atom_site_type_symbol
_atom_site_fract_x
_atom_site_fract_y
_atom_site_fract_z
Rb1 Rb 0.000 0.000 0.124
Mg1 Mg 0.000 0.000 0.500
H1 H 0.000 0.500 0.000
Br1 Br 0.000 0.000 0.342
```

=====

[2]
A geometry-optimized MgHSeBr2 structure, computed with PBE.

Output
spin magnetization	2.99	μB per formula unit
relative energy among the computed polymorphs	26	meV/atom

Cell and atoms, written as CIF:
```
data_MgHSeBr2
_chemical_formula_sum 'Mg1 H1 Se1 Br2'
_space_group_name_H-M_alt 'P 4/m m m'
_space_group_IT_number 123
_space_group_name_Hall '-P 4 2'
_cell_length_a 5.302
_cell_length_b 5.302
_cell_length_c 5.348
_cell_angle_alpha 90.00
_cell_angle_beta 90.00
_cell_angle_gamma 90.00
loop_
_atom_site_label
_atom_site_type_symbol
_atom_site_fract_x
_atom_site_fract_y
_atom_site_fract_z
Mg1 Mg 0.000 0.000 0.000
H1 H 0.500 0.500 0.500
Se1 Se 0.000 0.000 0.500
Br1 Br 0.000 0.500 0.000
```

=====

[3]
A geometry-optimized MgHSeBr2 structure, computed with PBE.

Output
spin magnetization	0.75	μB per formula unit
relative energy among the computed polymorphs	0	meV/atom

Cell and atoms, written as CIF:
```
data_MgHSeBr2
_chemical_formula_sum 'Mg1 H1 Se1 Br2'
_space_group_name_H-M_alt 'P 4/m m m'
_space_group_IT_number 123
_space_group_name_Hall '-P 4 2'
_cell_length_a 5.366
_cell_length_b 5.366
_cell_length_c 3.610
_cell_angle_alpha 90.00
_cell_angle_beta 90.00
_cell_angle_gamma 90.00
loop_
_atom_site_label
_atom_site_type_symbol
_atom_site_fract_x
_atom_site_fract_y
_atom_site_fract_z
Mg1 Mg 0.000 0.000 0.000
H1 H 0.500 0.500 0.500
Se1 Se 0.500 0.500 0.000
Br1 Br 0.000 0.500 0.500
```

=====

[4]
A geometry-optimized MgTeHBr2 structure, computed with PBE.

Output
spin magnetization	3.00	μB per formula unit
electronic total energy	-2.205	eV per atom

Cell and atoms, written as CIF:
```
data_MgTeHBr2
_chemical_formula_sum 'Mg1 Te1 H1 Br2'
_space_group_name_H-M_alt 'P 4/m m m'
_space_group_IT_number 123
_space_group_name_Hall '-P 4 2'
_cell_length_a 5.319
_cell_length_b 5.319
_cell_length_c 5.823
_cell_angle_alpha 90.00
_cell_angle_beta 90.00
_cell_angle_gamma 90.00
loop_
_atom_site_label
_atom_site_type_symbol
_atom_site_fract_x
_atom_site_fract_y
_atom_site_fract_z
Mg1 Mg 0.000 0.000 0.000
Te1 Te 0.000 0.000 0.500
H1 H 0.500 0.500 0.500
Br1 Br 0.000 0.500 0.000
```

=====

[5]
A geometry-optimized Mg2TeHBr structure, computed with PBE.

Output
spin magnetization	0.00	μB per formula unit
electronic total energy	-2.342	eV per atom

Cell and atoms, written as CIF:
```
data_Mg2TeHBr
_chemical_formula_sum 'Mg2 Te1 H1 Br1'
_space_group_name_H-M_alt 'P 4/m m m'
_space_group_IT_number 123
_space_group_name_Hall '-P 4 2'
_cell_length_a 5.278
_cell_length_b 5.278
_cell_length_c 3.927
_cell_angle_alpha 90.00
_cell_angle_beta 90.00
_cell_angle_gamma 90.00
loop_
_atom_site_label
_atom_site_type_symbol
_atom_site_fract_x
_atom_site_fract_y
_atom_site_fract_z
Mg1 Mg 0.000 0.500 0.000
Te1 Te 0.000 0.000 0.500
H1 H 0.000 0.000 0.000
Br1 Br 0.500 0.500 0.500
```

=====

[6]
A geometry-optimized MgTlHBr2 structure, computed with PBE.

Output
spin magnetization	0.00	μB per formula unit
electronic total energy	-2.908	eV per atom

Cell and atoms, written as CIF:
```
data_MgTlHBr2
_chemical_formula_sum 'Mg1 Tl1 H1 Br2'
_space_group_name_H-M_alt 'P 4/m m m'
_space_group_IT_number 123
_space_group_name_Hall '-P 4 2'
_cell_length_a 5.602
_cell_length_b 5.602
_cell_length_c 3.848
_cell_angle_alpha 90.00
_cell_angle_beta 90.00
_cell_angle_gamma 90.00
loop_
_atom_site_label
_atom_site_type_symbol
_atom_site_fract_x
_atom_site_fract_y
_atom_site_fract_z
Mg1 Mg 0.000 0.000 0.000
Tl1 Tl 0.500 0.500 0.500
H1 H 0.000 0.000 0.500
Br1 Br 0.000 0.500 0.000
```

=====

Copy entry 2 word for word.
A geometry-optimized MgHSeBr2 structure, computed with PBE.

Output
spin magnetization	2.99	μB per formula unit
relative energy among the computed polymorphs	26	meV/atom

Cell and atoms, written as CIF:
```
data_MgHSeBr2
_chemical_formula_sum 'Mg1 H1 Se1 Br2'
_space_group_name_H-M_alt 'P 4/m m m'
_space_group_IT_number 123
_space_group_name_Hall '-P 4 2'
_cell_length_a 5.302
_cell_length_b 5.302
_cell_length_c 5.348
_cell_angle_alpha 90.00
_cell_angle_beta 90.00
_cell_angle_gamma 90.00
loop_
_atom_site_label
_atom_site_type_symbol
_atom_site_fract_x
_atom_site_fract_y
_atom_site_fract_z
Mg1 Mg 0.000 0.000 0.000
H1 H 0.500 0.500 0.500
Se1 Se 0.000 0.000 0.500
Br1 Br 0.000 0.500 0.000
```

=====

Repeat the fourth record exactly.
A geometry-optimized MgTeHBr2 structure, computed with PBE.

Output
spin magnetization	3.00	μB per formula unit
electronic total energy	-2.205	eV per atom

Cell and atoms, written as CIF:
```
data_MgTeHBr2
_chemical_formula_sum 'Mg1 Te1 H1 Br2'
_space_group_name_H-M_alt 'P 4/m m m'
_space_group_IT_number 123
_space_group_name_Hall '-P 4 2'
_cell_length_a 5.319
_cell_length_b 5.319
_cell_length_c 5.823
_cell_angle_alpha 90.00
_cell_angle_beta 90.00
_cell_angle_gamma 90.00
loop_
_atom_site_label
_atom_site_type_symbol
_atom_site_fract_x
_atom_site_fract_y
_atom_site_fract_z
Mg1 Mg 0.000 0.000 0.000
Te1 Te 0.000 0.000 0.500
H1 H 0.500 0.500 0.500
Br1 Br 0.000 0.500 0.000
```